Rb2LiBiI6 | PBE | relaxed

The space group is P2_1/c (No. 14) and the conventional cell measures 8.372, 8.645 and 14.529 Å, with angles of 90.00, 124.93 and 90.00 degrees. The inequivalent atoms are Rb at (0.225, 0.075, 0.248), Li at (0.000, 0.000, 0.500), Bi at (0.500, 0.000, 0.000), I at (0.155, 0.203, 0.956), I at (0.262, 0.700, 0.962) and I at (0.330, 0.006, 0.746).

The uncorrected formation energy comes out at -10.16 eV per formula unit.



CaTmZn2Au5 | PBE | relaxed

The space group is P4/mmm (No. 123) and the conventional cell measures 4.433, 4.433 and 9.165 Å, with angles of 90.00, 90.00 and 90.00 degrees. The inequivalent atoms are Ca at (0.000, 0.000, 0.000), Tm at (0.000, 0.000, 0.500), Zn at (0.500, 0.500, 0.372), Au at (0.000, 0.500, 0.232) and Au at (0.500, 0.500, 0.000).

As for the energy relative to the elements: -4.30 eV/f.u.



SnTe2NCl | PBE | relaxed

The space group is P4/mmm (No. 123) and the conventional cell measures 6.405, 6.405 and 3.302 Å, with angles of 90.00, 90.00 and 90.00 degrees. The inequivalent atoms are Sn at (0.000, 0.000, 0.000), Te at (0.000, 0.500, 0.500), N at (0.500, 0.500, 0.000) and Cl at (0.500, 0.500, 0.500).

The uncorrected formation energy comes out at 5.50 eV per formula unit.



NpMnRh | PBE | relaxed

The space group is I4mm (No. 107) and the conventional cell measures 3.688, 3.688 and 7.640 Å, with angles of 90.00, 90.00 and 90.00 degrees. The inequivalent atoms are Np at (0.000, 0.000, 0.000), Mn at (0.000, 0.000, 0.716) and Rh at (0.000, 0.000, 0.340).

As for the energy relative to the elements: 0.03 eV/f.u.



ZnGa2W | PBE | relaxed

The space group is R-3m (No. 166, hexagonal axes) and the conventional cell measures 2.9102, 2.9102 and 26.0990 Å, with angles of 90.00, 90.00 and 120.00 degrees. The inequivalent atoms are Zn at (0.0000, 0.0000, 0.0000), Ga at (0.0000, 0.0000, 0.2506) and W at (0.0000, 0.0000, 0.5000).

As for the energy relative to the elements: 0.51 eV/f.u.



NaBS2O8 | PBE | relaxed

The space group is P2/c (No. 13) and the conventional cell measures 5.594, 7.668 and 7.866 Å, with angles of 90.00, 108.48 and 90.00 degrees. The inequivalent atoms are Na at (0.000, 0.069, 0.250), B at (0.500, 0.459, 0.750), S at (0.371, 0.276, 0.003), O at (0.168, 0.155, 0.989), O at (0.322, 0.438, 0.106), O at (0.327, 0.347, 0.812) and O at (0.374, 0.214, 0.418).

The uncorrected formation energy comes out at -19.65 eV per formula unit.



Ti5AlFe4 | PBE | relaxed

The space group is P4/mmm (No. 123) and the conventional cell measures 2.967, 2.967 and 15.388 Å, with angles of 90.00, 90.00 and 90.00 degrees. The inequivalent atoms are Ti at (0.000, 0.000, 0.000), Ti at (0.000, 0.000, 0.191), Ti at (0.000, 0.000, 0.381), Al at (0.500, 0.500, 0.500), Fe at (0.500, 0.500, 0.096) and Fe at (0.500, 0.500, 0.288).

As for the energy relative to the elements: -3.79 eV/f.u.



PrNd2Dy | PBE | relaxed

The space group is P4/mmm (No. 123) and the conventional cell measures 5.162, 5.162 and 5.176 Å, with angles of 90.00, 90.00 and 90.00 degrees. The inequivalent atoms are Pr at (0.000, 0.000, 0.000), Nd at (0.000, 0.500, 0.500) and Dy at (0.500, 0.500, 0.000).

As for the energy relative to the elements: 0.06 eV/f.u.



TaIn2HgO | PBE | relaxed

The space group is P4/mmm (No. 123) and the conventional cell measures 5.381, 5.381 and 5.431 Å, with angles of 90.00, 90.00 and 90.00 degrees. The inequivalent atoms are Ta at (0.000, 0.000, 0.000), In at (0.000, 0.500, 0.500), Hg at (0.000, 0.000, 0.500) and O at (0.500, 0.500, 0.000).

The uncorrected formation energy comes out at 7.75 eV per formula unit.



Pm2PrSc | PBE | relaxed

The space group is R3m (No. 160, hexagonal axes) and the conventional cell measures 3.5844, 3.5844 and 34.7942 Å, with angles of 90.00, 90.00 and 120.00 degrees. The inequivalent atoms are Pm at (0.0000, 0.0000, 0.0000), Pm at (0.0000, 0.0000, 0.1766), Pr at (0.0000, 0.0000, 0.4210) and Sc at (0.0000, 0.0000, 0.5882).

As for the energy relative to the elements: 0.24 eV/f.u.



YSn2Bi | PBE | relaxed

The space group is I-42d (No. 122) and the conventional cell measures 8.738, 8.738 and 6.342 Å, with angles of 90.00, 90.00 and 90.00 degrees. The inequivalent atoms are Y at (0.000, 0.000, 0.000), Sn at (0.248, 0.250, 0.625) and Bi at (0.000, 0.000, 0.500).

As for the energy relative to the elements: -0.80 eV/f.u.



AcHgAuSe | PBE | relaxed

The space group is F-43m (No. 216) and the conventional cell measures 7.557, 7.557 and 7.557 Å, with angles of 90.00, 90.00 and 90.00 degrees. The inequivalent atoms are Ac at (0.000, 0.000, 0.000), Hg at (0.000, 0.000, 0.500), Au at (0.250, 0.250, 0.750) and Se at (0.250, 0.250, 0.250).

The uncorrected formation energy comes out at -3.62 eV per formula unit.